1.
Here is a relaxed CePm2ThS4 crystal from Alexandria. Energies are from PBE.

Computed properties:
The calculation puts the uncorrected formation energy at -1987 meV per atom. For the density of states at the Fermi level, the calculation gives 7.31 states/eV per cell. The value obtained for the electronic total energy is -55.3 eV for the cell shown.

Unit cell a=6.9598 b=4.0256 c=7.0125 alpha=90.00 beta=109.30 gamma=90.00
Space group P2/m (No. 10)
One atom of each set of equivalent atoms:
1 Ce 0.0000 0.0000 0.0000 [1 per cell]
2 Pm 0.0000 0.5000 0.5000 [1 per cell]
3 Pm 0.5000 0.0000 0.5000 [1 per cell]
4 Th 0.5000 0.5000 0.0000 [1 per cell]
5 S 0.2486 0.0000 0.7482 [2 per cell]
6 S 0.2495 0.5000 0.2507 [2 per cell]

=====

2.
Here is a relaxed ZrReO3 crystal from Alexandria. Energies are from PBE.

Computed properties:
The calculation puts the uncorrected formation energy at -1050 meV per atom. For the density of states at the Fermi level, the calculation gives 5.17 states/eV per cell. The value obtained for the electronic total energy is -41.1 eV for the cell shown.

Unit cell a=3.9071 b=3.9071 c=3.9071 alpha=90.00 beta=90.00 gamma=90.00
Space group Pm-3m (No. 221)
One atom of each set of equivalent atoms:
1 Zr 0.0000 0.0000 0.0000 [1 per cell]
2 Re 0.5000 0.5000 0.5000 [1 per cell]
3 O 0.0000 0.5000 0.5000 [3 per cell]

=====

3.
Here is a relaxed CoAg3W crystal from Alexandria. Energies are from PBE.

Computed properties:
Its excess energy over the best structure of this formula in the dataset is 2.15 eV/f.u. For the energy of formation, the calculation gives 209 kJ/mol of atoms. For the density of states at the Fermi level, the calculation gives 3.53 states/eV per cell. The value obtained for the electronic total energy is -17.8 eV for the cell shown.

Unit cell a=5.0516 b=5.0516 c=5.0516 alpha=90.00 beta=90.00 gamma=90.00
Space group Pm-3m (No. 221)
One atom of each set of equivalent atoms:
1 Co 0.0000 0.0000 0.0000 [1 per cell]
2 Ag 0.0000 0.5000 0.5000 [3 per cell]
3 W 0.5000 0.5000 0.5000 [1 per cell]

=====

4.
Here is a relaxed Cs2GaHgBr6 crystal from Alexandria. Energies are from PBE.

Computed properties:
The calculation puts the uncorrected formation energy at -1089 meV per atom. For the density of states at the Fermi level, the calculation gives 2.82 states/eV per cell. The value obtained for the electronic total energy is -103.8 eV for the cell shown.

Unit cell a=11.1704 b=11.1704 c=11.1704 alpha=90.00 beta=90.00 gamma=90.00
Space group Fm-3m (No. 225)
One atom of each set of equivalent atoms:
1 Cs 0.2500 0.2500 0.2500 [8 per cell]
2 Ga 0.0000 0.0000 0.0000 [4 per cell]
3 Hg 0.0000 0.0000 0.5000 [4 per cell]
4 Br 0.0000 0.0000 0.2362 [24 per cell]

=====

5.
Here is a relaxed Tb2SmTm6Sc crystal from Alexandria. Energies are from PBE.

Computed properties:
For the energy of formation, the calculation gives 12 kJ/mol of atoms. For the density of states at the Fermi level, the calculation gives 52.10 states/eV per cell. The value obtained for the electronic total energy is -183.5 eV for the cell shown.

Unit cell a=8.9498 b=14.7124 c=9.3559 alpha=90.00 beta=97.41 gamma=90.00
Space group C2/c (No. 15)
One atom of each set of equivalent atoms:
1 Tb 0.2472 0.0521 0.4520 [8 per cell]
2 Sm 0.0000 0.4776 0.2500 [4 per cell]
3 Tm 0.0617 0.3108 0.9423 [8 per cell]
4 Tm 0.0999 0.1073 0.1155 [8 per cell]
5 Tm 0.2125 0.2781 0.3115 [8 per cell]
6 Sc 0.0000 0.0879 0.7500 [4 per cell]

=====

6.
Here is a relaxed Sr2ScP crystal from Alexandria. Energies are from PBE.

Computed properties:
For the energy of formation, the calculation gives -46 kJ/mol of atoms. For the density of states at the Fermi level, the calculation gives 4.83 states/eV per cell. The value obtained for the electronic total energy is -34.0 eV for the cell shown.

Unit cell a=3.7824 b=5.5808 c=12.1027 alpha=90.00 beta=90.00 gamma=90.00
Space group Imm2 (No. 44)
One atom of each set of equivalent atoms:
1 Sr 0.0000 0.0000 0.0000 [2 per cell]
2 Sr 0.0000 0.5000 0.1851 [2 per cell]
3 Sc 0.0000 0.5000 0.8257 [2 per cell]
4 P 0.0000 0.0000 0.4723 [2 per cell]

=====

7.
Here is a relaxed PaSeI crystal from Alexandria. Energies are from PBE.

Computed properties:
Its excess energy over the best structure of this formula in the dataset is 1.32 eV/f.u. The calculation puts the uncorrected formation energy at -683 meV per atom. For the density of states at the Fermi level, the calculation gives 5.99 states/eV per cell. The value obtained for the electronic total energy is -16.6 eV for the cell shown.

Unit cell a=4.9587 b=4.9587 c=4.0189 alpha=90.00 beta=90.00 gamma=120.00
Space group P-6m2 (No. 187)
One atom of each set of equivalent atoms:
1 Pa 0.0000 0.0000 0.0000 [1 per cell]
2 Se 0.6667 0.3333 0.0000 [1 per cell]
3 I 0.3333 0.6667 0.5000 [1 per cell]

=====

8.
Here is a relaxed Re2NiC crystal from Alexandria. Energies are from PBE.

Computed properties:
For the energy of formation, the calculation gives 74 kJ/mol of atoms. For the density of states at the Fermi level, the calculation gives 15.27 states/eV per cell. The value obtained for the electronic total energy is -110.5 eV for the cell shown.

Unit cell a=2.7649 b=2.7649 c=23.2563 alpha=90.00 beta=90.00 gamma=120.00
Space group R-3m (No. 166, hexagonal axes)
One atom of each set of equivalent atoms:
1 Re 0.0000 0.0000 0.1057 [6 per cell]
2 Ni 0.0000 0.0000 0.0000 [3 per cell]
3 C 0.0000 0.0000 0.5000 [3 per cell]

=====

9.
Here is a relaxed LiHg2Rh crystal from Alexandria. Energies are from PBE.

Computed properties:
For the energy of formation, the calculation gives -10 kJ/mol of atoms. For the density of states at the Fermi level, the calculation gives 3.74 states/eV per cell. The value obtained for the electronic total energy is -20.6 eV for the cell shown.

Unit cell a=10.0207 b=3.1923 c=4.6668 alpha=90.00 beta=106.88 gamma=90.00
Space group Cm (No. 8)
One atom of each set of equivalent atoms:
1 Li 0.0000 0.0000 0.0000 [2 per cell]
2 Hg 0.0254 0.5000 0.5399 [2 per cell]
3 Hg 0.2590 0.5000 0.1788 [2 per cell]
4 Rh 0.2692 0.0000 0.6849 [2 per cell]

=====

10.
Here is a relaxed CaSnBiSb crystal from Alexandria. Energies are from PBE.

Computed properties:
The calculation puts the uncorrected formation energy at -259 meV per atom. For the density of states at the Fermi level, the calculation gives 9.10 states/eV per cell. The value obtained for the electronic total energy is -60.2 eV for the cell shown.

Unit cell a=7.8323 b=7.8323 c=7.8323 alpha=90.00 beta=90.00 gamma=90.00
Space group F-43m (No. 216)
One atom of each set of equivalent atoms:
1 Ca 0.0000 0.0000 0.0000 [4 per cell]
2 Sn 0.0000 0.0000 0.5000 [4 per cell]
3 Bi 0.2500 0.2500 0.7500 [4 per cell]
4 Sb 0.2500 0.2500 0.2500 [4 per cell]

=====

11.
Here is a relaxed La3Dy4Tm5 crystal from Alexandria. Energies are from PBE.

Computed properties:
Its excess energy over the best structure of this formula in the dataset is 3.06 eV/f.u. For the energy of formation, the calculation gives 27 kJ/mol of atoms. For the density of states at the Fermi level, the calculation gives 35.98 states/eV per cell. The value obtained for the electronic total energy is -104.3 eV for the cell shown.

Unit cell a=17.7200 b=5.6779 c=8.6154 alpha=90.00 beta=114.00 gamma=90.00
Space group C2/m (No. 12)
One atom of each set of equivalent atoms:
1 La 0.0000 0.0000 0.0000 [2 per cell]
2 La 0.1821 0.5000 0.2371 [4 per cell]
3 Dy 0.0485 0.5000 0.6990 [4 per cell]
4 Dy 0.2221 0.5000 0.6515 [4 per cell]
5 Tm 0.0000 0.5000 0.0000 [2 per cell]
6 Tm 0.0896 0.0000 0.4498 [4 per cell]
7 Tm 0.1662 0.0000 0.9000 [4 per cell]

=====

12.
Here is a relaxed Tb4Bi2N crystal from Alexandria. Energies are from PBE.

Computed properties:
The calculation puts the uncorrected formation energy at -928 meV per atom. For the density of states at the Fermi level, the calculation gives 14.63 states/eV per cell. The value obtained for the electronic total energy is -82.2 eV for the cell shown.

Unit cell a=4.7330 b=4.7330 c=16.3315 alpha=90.00 beta=90.00 gamma=90.00
Space group I4/mmm (No. 139)
One atom of each set of equivalent atoms:
1 Tb 0.0000 0.0000 0.1578 [4 per cell]
2 Tb 0.0000 0.5000 0.0000 [4 per cell]
3 Bi 0.0000 0.0000 0.3548 [4 per cell]
4 N 0.0000 0.0000 0.0000 [2 per cell]

=====

13.
Here is a relaxed EuDyCdPd crystal from Alexandria. Energies are from PBE.

Computed properties:
For the energy of formation, the calculation gives -45 kJ/mol of atoms. For the density of states at the Fermi level, the calculation gives 36.40 states/eV per cell. The value obtained for the electronic total energy is -91.4 eV for the cell shown.

Unit cell a=7.3730 b=7.3730 c=7.3730 alpha=90.00 beta=90.00 gamma=90.00
Space group F-43m (No. 216)
One atom of each set of equivalent atoms:
1 Eu 0.0000 0.0000 0.0000 [4 per cell]
2 Dy 0.0000 0.0000 0.5000 [4 per cell]
3 Cd 0.2500 0.2500 0.7500 [4 per cell]
4 Pd 0.2500 0.2500 0.2500 [4 per cell]

=====

14.
Here is a relaxed MgTl2PSe4 crystal from Alexandria. Energies are from PBE.

Computed properties:
The calculation puts the uncorrected formation energy at -400 meV per atom. For the density of states at the Fermi level, the calculation gives 3.54 states/eV per cell. The value obtained for the electronic total energy is -57.8 eV for the cell shown.

Unit cell a=7.9635 b=9.6565 c=6.3129 alpha=90.00 beta=90.00 gamma=90.00
Space group Pmn2_1 (No. 31)
One atom of each set of equivalent atoms:
1 Mg 0.0000 0.1205 0.0000 [2 per cell]
2 Tl 0.2280 0.3635 0.5671 [4 per cell]
3 P 0.0000 0.8620 0.4839 [2 per cell]
4 Se 0.0000 0.0959 0.5815 [2 per cell]
5 Se 0.0000 0.8634 0.1208 [2 per cell]
6 Se 0.2329 0.7240 0.5776 [4 per cell]

=====

15.
Here is a relaxed Tb2CuNi7 crystal from Alexandria. Energies are from PBE.

Computed properties:
For the energy of formation, the calculation gives -18 kJ/mol of atoms. For the density of states at the Fermi level, the calculation gives 15.01 states/eV per cell. The value obtained for the electronic total energy is -55.7 eV for the cell shown.

Unit cell a=3.8029 b=3.8029 c=10.2395 alpha=90.00 beta=90.00 gamma=90.00
Space group P-4m2 (No. 115)
One atom of each set of equivalent atoms:
1 Tb 0.0000 0.5000 0.2452 [2 per cell]
2 Cu 0.0000 0.0000 0.5000 [1 per cell]
3 Ni 0.0000 0.0000 0.0000 [1 per cell]
4 Ni 0.0000 0.5000 0.6420 [2 per cell]
5 Ni 0.0000 0.5000 0.8624 [2 per cell]
6 Ni 0.5000 0.5000 0.0000 [1 per cell]
7 Ni 0.5000 0.5000 0.5000 [1 per cell]

=====

16.
Here is a relaxed InCuSnRh crystal from Alexandria. Energies are from PBE.

Computed properties:
For the energy of formation, the calculation gives -9 kJ/mol of atoms. For the density of states at the Fermi level, the calculation gives 9.75 states/eV per cell. The value obtained for the electronic total energy is -74.2 eV for the cell shown.

Unit cell a=6.5435 b=6.5435 c=6.5435 alpha=90.00 beta=90.00 gamma=90.00
Space group F-43m (No. 216)
One atom of each set of equivalent atoms:
1 In 0.0000 0.0000 0.0000 [4 per cell]
2 Cu 0.2500 0.2500 0.2500 [4 per cell]
3 Sn 0.0000 0.0000 0.5000 [4 per cell]
4 Rh 0.2500 0.2500 0.7500 [4 per cell]

=====

17.
Here is a relaxed Nb3GeCl crystal from Alexandria. Energies are from PBE.

Computed properties:
Its excess energy over the best structure of this formula in the dataset is 0.00 eV/f.u. The calculation puts the uncorrected formation energy at 588 meV per atom. For the density of states at the Fermi level, the calculation gives 3.21 states/eV per cell. The value obtained for the electronic total energy is -33.7 eV for the cell shown.

Unit cell a=4.5425 b=4.5425 c=4.5425 alpha=90.00 beta=90.00 gamma=90.00
Space group Pm-3m (No. 221)
One atom of each set of equivalent atoms:
1 Nb 0.0000 0.0000 0.5000 [3 per cell]
2 Ge 0.5000 0.5000 0.5000 [1 per cell]
3 Cl 0.0000 0.0000 0.0000 [1 per cell]

=====

18.
Here is a relaxed Sc2HAu2 crystal from Alexandria. Energies are from PBE.

Computed properties:
Its excess energy over the best structure of this formula in the dataset is 2.60 eV/f.u. For the density of states at the Fermi level, the calculation gives 8.83 states/eV per cell. The value obtained for the electronic total energy is -43.9 eV for the cell shown.

Unit cell a=3.7667 b=3.7667 c=14.6847 alpha=90.00 beta=90.00 gamma=90.00
Space group I4/mmm (No. 139)
One atom of each set of equivalent atoms:
1 Sc 0.0000 0.0000 0.1011 [4 per cell]
2 H 0.0000 0.0000 0.5000 [2 per cell]
3 Au 0.0000 0.5000 0.2500 [4 per cell]

=====

19.
Here is a relaxed MgCo2SnRu crystal from Alexandria. Energies are from PBE.

Computed properties:
For the energy of formation, the calculation gives 151 kJ/mol of atoms. For the density of states at the Fermi level, the calculation gives 5.41 states/eV per cell. The value obtained for the electronic total energy is -21.3 eV for the cell shown.

Unit cell a=4.6033 b=4.6033 c=5.0144 alpha=90.00 beta=90.00 gamma=90.00
Space group P4/mmm (No. 123)
One atom of each set of equivalent atoms:
1 Mg 0.0000 0.0000 0.0000 [1 per cell]
2 Co 0.0000 0.5000 0.5000 [2 per cell]
3 Sn 0.0000 0.0000 0.5000 [1 per cell]
4 Ru 0.5000 0.5000 0.0000 [1 per cell]

=====

20.
Here is a relaxed Ba2AlPt2 crystal from Alexandria. Energies are from PBE.

Computed properties:
For the energy of formation, the calculation gives -9 kJ/mol of atoms. For the density of states at the Fermi level, the calculation gives 6.70 states/eV per cell. The value obtained for the electronic total energy is -40.3 eV for the cell shown.

Unit cell a=8.9262 b=8.9262 c=3.7413 alpha=90.00 beta=90.00 gamma=90.00
Space group P4/mbm (No. 127)
One atom of each set of equivalent atoms:
1 Ba 0.1436 0.3564 0.0000 [4 per cell]
2 Al 0.0000 0.0000 0.0000 [2 per cell]
3 Pt 0.1589 0.6589 0.5000 [4 per cell]